1.
ScIr3 (SCAN, PBEsol geometry); ΔH_f (0 K) = -667 meV per atom; calculated density = 16.918 Mg/m³
1.0
5.199 0.000 0.000
0.000 8.870 0.000
0.000 0.000 5.292
Sc Ir
4 12
Direct
0.072 0.250 0.081 Sc
0.428 0.750 0.581 Sc
0.572 0.250 0.419 Sc
0.928 0.750 0.919 Sc
0.095 0.250 0.581 Ir
0.188 0.512 0.328 Ir
0.188 0.988 0.328 Ir
0.312 0.012 0.828 Ir
0.312 0.488 0.828 Ir
0.405 0.750 0.081 Ir
0.595 0.250 0.919 Ir
0.688 0.512 0.172 Ir
0.688 0.988 0.172 Ir
0.812 0.012 0.672 Ir
0.812 0.488 0.672 Ir
0.905 0.750 0.419 Ir

=====

2.
Tb2Nb2S7O30 (SCAN, PBEsol geometry); ΔE_f (raw) = -1.984 eV/atom; calculated density = 3.523 Mg/m³
1.0
12.722 0.000 0.000
0.000 12.722 0.000
0.000 0.000 7.037
Tb Nb S O
4 4 14 60
Direct
0.196 0.304 0.094 Tb
0.304 0.804 0.906 Tb
0.696 0.196 0.906 Tb
0.804 0.696 0.094 Tb
0.139 0.639 0.520 Nb
0.361 0.139 0.480 Nb
0.639 0.861 0.480 Nb
0.861 0.361 0.520 Nb
0.000 0.500 0.154 S
0.066 0.823 0.195 S
0.124 0.376 0.609 S
0.177 0.066 0.805 S
0.323 0.566 0.195 S
0.376 0.876 0.391 S
0.434 0.323 0.805 S
0.500 0.000 0.846 S
0.566 0.677 0.805 S
0.624 0.124 0.391 S
0.677 0.434 0.195 S
0.823 0.934 0.805 S
0.876 0.624 0.609 S
0.934 0.177 0.195 S
0.008 0.357 0.636 O
0.043 0.212 0.166 O
0.064 0.075 0.780 O
0.067 0.567 0.278 O
0.068 0.432 0.038 O
0.075 0.936 0.220 O
0.106 0.771 0.378 O
0.134 0.788 0.040 O
0.143 0.492 0.636 O
0.155 0.345 0.420 O
0.178 0.322 0.761 O
0.204 0.704 0.710 O
0.212 0.134 0.960 O
0.212 0.957 0.834 O
0.229 0.106 0.622 O
0.271 0.606 0.378 O
0.288 0.457 0.166 O
0.288 0.634 0.040 O
0.296 0.204 0.290 O
0.322 0.822 0.239 O
0.345 0.845 0.580 O
0.357 0.992 0.364 O
0.366 0.288 0.960 O
0.394 0.271 0.622 O
0.425 0.436 0.780 O
0.432 0.932 0.962 O
0.433 0.067 0.722 O
0.436 0.575 0.220 O
0.457 0.712 0.834 O
0.492 0.857 0.364 O
0.508 0.143 0.364 O
0.543 0.288 0.834 O
0.564 0.425 0.220 O
0.567 0.933 0.722 O
0.568 0.068 0.962 O
0.575 0.564 0.780 O
0.606 0.729 0.622 O
0.634 0.712 0.960 O
0.643 0.008 0.364 O
0.655 0.155 0.580 O
0.678 0.178 0.239 O
0.704 0.796 0.290 O
0.712 0.366 0.040 O
0.712 0.543 0.166 O
0.729 0.394 0.378 O
0.771 0.894 0.622 O
0.788 0.043 0.834 O
0.788 0.866 0.960 O
0.796 0.296 0.710 O
0.822 0.678 0.761 O
0.845 0.655 0.420 O
0.857 0.508 0.636 O
0.866 0.212 0.040 O
0.894 0.229 0.378 O
0.925 0.064 0.220 O
0.932 0.568 0.038 O
0.933 0.433 0.278 O
0.936 0.925 0.780 O
0.957 0.788 0.166 O
0.992 0.643 0.636 O

=====

3.
GaBi3S (SCAN, PBEsol geometry); ΔE_f (raw) = 0.779 eV/atom; calculated density = 7.956 Mg/m³
1.0
5.338 0.000 0.000
0.000 5.338 0.000
0.000 0.000 5.338
Ga Bi S
1 3 1
Direct
0.000 0.000 0.000 Ga
0.000 0.000 0.500 Bi
0.000 0.500 0.000 Bi
0.500 0.000 0.000 Bi
0.500 0.500 0.500 S

=====

4.
LaSb2TeMo (SCAN, PBEsol geometry); ΔE_f (raw) = -0.125 eV/atom; calculated density = 6.955 Mg/m³
1.0
5.084 0.000 0.000
0.000 5.084 0.000
0.000 0.000 5.598
La Sb Te Mo
1 2 1 1
Direct
0.000 0.000 0.000 La
0.000 0.500 0.500 Sb
0.500 0.000 0.500 Sb
0.500 0.500 0.000 Te
0.500 0.500 0.500 Mo

=====

5.
MgZrPb2 (SCAN, PBEsol geometry); ΔH_f (0 K) = -183 meV per atom; calculated density = 9.116 Mg/m³
1.0
3.404 0.000 0.000
-1.702 2.948 0.000
0.000 0.000 28.861
Mg Zr Pb
3 3 6
Direct
0.000 0.000 0.000 Mg
0.333 0.667 0.667 Mg
0.667 0.333 0.333 Mg
0.000 0.000 0.500 Zr
0.333 0.667 0.167 Zr
0.667 0.333 0.833 Zr
0.000 0.000 0.251 Pb
0.000 0.000 0.749 Pb
0.333 0.667 0.416 Pb
0.333 0.667 0.917 Pb
0.667 0.333 0.083 Pb
0.667 0.333 0.584 Pb

=====

6.
BiBCl2 (SCAN, PBEsol geometry); ΔE_f (raw) = 0.547 eV/atom; calculated density = 5.385 Mg/m³
1.0
3.490 0.000 0.000
-1.745 3.023 0.000
0.000 0.000 25.490
Bi B Cl
3 3 6
Direct
0.000 0.000 0.000 Bi
0.333 0.667 0.667 Bi
0.667 0.333 0.333 Bi
0.000 0.000 0.500 B
0.333 0.667 0.167 B
0.667 0.333 0.833 B
0.000 0.000 0.107 Cl
0.000 0.000 0.893 Cl
0.333 0.667 0.559 Cl
0.333 0.667 0.774 Cl
0.667 0.333 0.226 Cl
0.667 0.333 0.441 Cl

=====

7.
CdMoRu (SCAN, PBEsol geometry); ΔH_f (0 K) = 184 meV per atom; calculated density = 10.620 Mg/m³
1.0
2.941 0.000 0.000
0.000 2.941 0.000
0.000 0.000 11.187
Cd Mo Ru
2 2 2
Direct
0.000 0.000 0.000 Cd
0.500 0.500 0.500 Cd
0.000 0.000 0.692 Mo
0.500 0.500 0.192 Mo
0.000 0.000 0.320 Ru
0.500 0.500 0.820 Ru

=====

8.
ZnFeAg (SCAN, PBEsol geometry); ΔH_f (0 K) = 163 meV per atom; calculated density = 9.181 Mg/m³
1.0
2.698 0.000 0.000
-1.349 2.336 0.000
0.000 0.000 6.575
Zn Fe Ag
1 1 1
Direct
0.000 0.000 0.000 Zn
0.667 0.333 0.309 Fe
0.333 0.667 0.651 Ag

=====

9.
ZrInNi4 (SCAN, PBEsol geometry); ΔH_f (0 K) = -389 meV per atom; calculated density = 9.208 Mg/m³
1.0
0.000 3.413 3.413
3.413 0.000 3.413
3.413 3.413 0.000
Zr In Ni
1 1 4
Direct
0.000 0.000 0.000 Zr
0.750 0.750 0.750 In
0.375 0.375 0.375 Ni
0.375 0.375 0.875 Ni
0.375 0.875 0.375 Ni
0.875 0.375 0.375 Ni

=====

10.
Y3HPb (SCAN, PBEsol geometry); energy = -331.7 eV per cell; calculated density = 6.799 Mg/m³
1.0
6.646 0.000 0.000
0.000 5.215 0.000
-1.656 0.000 6.693
Y H Pb
6 2 2
Direct
0.126 0.000 0.256 Y
0.343 0.507 0.578 Y
0.374 0.511 0.092 Y
0.626 0.011 0.908 Y
0.657 0.007 0.422 Y
0.874 0.500 0.744 Y
0.385 0.254 0.340 H
0.615 0.754 0.660 H
0.135 0.000 0.775 Pb
0.865 0.500 0.225 Pb

=====

11.
CaFe3Br (SCAN, PBEsol geometry); ΔE_f (raw) = 1.976 eV/atom; calculated density = 4.680 Mg/m³
1.0
4.673 0.000 0.000
0.000 4.673 0.000
0.000 0.000 4.673
Ca Fe Br
1 3 1
Direct
0.000 0.000 0.000 Ca
0.000 0.000 0.500 Fe
0.000 0.500 0.000 Fe
0.500 0.000 0.000 Fe
0.500 0.500 0.500 Br

=====

12.
Sr5La (SCAN, PBEsol geometry); ΔH_f (0 K) = 101 meV per atom; calculated density = 3.356 Mg/m³
1.0
6.653 0.000 0.000
0.000 4.026 0.000
0.000 0.000 21.319
Sr La
10 2
Direct
0.000 0.000 0.000 Sr
0.000 0.000 0.322 Sr
0.000 0.500 0.500 Sr
0.000 0.500 0.822 Sr
0.500 0.000 0.106 Sr
0.500 0.000 0.437 Sr
0.500 0.000 0.766 Sr
0.500 0.500 0.266 Sr
0.500 0.500 0.606 Sr
0.500 0.500 0.937 Sr
0.000 0.000 0.661 La
0.000 0.500 0.161 La

=====

13.
Zr5Sn3C (SCAN, PBEsol geometry); ΔH_f (0 K) = -813 meV per atom; calculated density = 7.738 Mg/m³
1.0
8.402 0.000 0.000
-4.201 7.277 0.000
0.000 0.000 5.786
Zr Sn C
10 6 2
Direct
0.000 0.220 0.250 Zr
0.000 0.780 0.750 Zr
0.220 0.000 0.250 Zr
0.220 0.220 0.750 Zr
0.333 0.667 0.000 Zr
0.333 0.667 0.500 Zr
0.667 0.333 0.000 Zr
0.667 0.333 0.500 Zr
0.780 0.000 0.750 Zr
0.780 0.780 0.250 Zr
0.000 0.404 0.750 Sn
0.000 0.596 0.250 Sn
0.404 0.000 0.750 Sn
0.404 0.404 0.250 Sn
0.596 0.000 0.250 Sn
0.596 0.596 0.750 Sn
0.000 0.000 0.000 C
0.000 0.000 0.500 C

=====

14.
Sc3CdH (SCAN, PBEsol geometry); energy = -78.3 eV per cell; calculated density = 4.710 Mg/m³
1.0
4.440 0.000 0.000
0.000 4.440 0.000
0.000 0.000 4.440
Sc Cd H
3 1 1
Direct
0.000 0.000 0.500 Sc
0.000 0.500 0.000 Sc
0.500 0.000 0.000 Sc
0.500 0.500 0.500 Cd
0.000 0.000 0.000 H

=====

15.
Na3LiGa (SCAN, PBEsol geometry); ΔH_f (0 K) = 230 meV per atom; calculated density = 1.346 Mg/m³
1.0
5.642 0.000 0.000
0.000 5.642 0.000
0.000 0.000 5.642
Na Li Ga
3 1 1
Direct
0.000 0.000 0.500 Na
0.000 0.500 0.000 Na
0.500 0.000 0.000 Na
0.500 0.500 0.500 Li
0.000 0.000 0.000 Ga

=====

16.
Li34Sb9S6 (SCAN, PBEsol geometry); ΔE_f (raw) = -0.871 eV/atom; calculated density = 2.858 Mg/m³
1.0
-4.899 4.899 9.224
4.899 -4.899 9.224
4.899 4.899 -9.224
Li Sb S
34 9 6
Direct
0.057 0.907 0.711 Li
0.071 0.177 0.726 Li
0.074 0.574 0.500 Li
0.093 0.803 0.149 Li
0.149 0.718 0.867 Li
0.177 0.451 0.107 Li
0.197 0.346 0.289 Li
0.201 0.334 0.690 Li
0.250 0.750 0.500 Li
0.282 0.149 0.431 Li
0.334 0.644 0.133 Li
0.345 0.071 0.893 Li
0.346 0.057 0.149 Li
0.356 0.489 0.690 Li
0.426 0.926 0.500 Li
0.451 0.345 0.274 Li
0.489 0.799 0.133 Li
0.511 0.201 0.867 Li
0.549 0.655 0.726 Li
0.574 0.074 0.500 Li
0.644 0.511 0.310 Li
0.654 0.943 0.851 Li
0.655 0.929 0.107 Li
0.666 0.356 0.867 Li
0.718 0.851 0.569 Li
0.750 0.250 0.500 Li
0.799 0.666 0.310 Li
0.803 0.654 0.711 Li
0.823 0.549 0.893 Li
0.851 0.282 0.133 Li
0.907 0.197 0.851 Li
0.926 0.426 0.500 Li
0.929 0.823 0.274 Li
0.943 0.093 0.289 Li
0.032 0.472 0.819 Sb
0.213 0.032 0.560 Sb
0.347 0.787 0.819 Sb
0.472 0.653 0.440 Sb
0.500 0.500 0.000 Sb
0.528 0.347 0.560 Sb
0.653 0.213 0.181 Sb
0.787 0.968 0.440 Sb
0.968 0.528 0.181 Sb
0.099 0.316 0.415 S
0.183 0.183 0.000 S
0.316 0.901 0.217 S
0.684 0.099 0.783 S
0.817 0.817 0.000 S
0.901 0.684 0.585 S

=====

17.
SrC3 (SCAN, PBEsol geometry); ΔH_f (0 K) = 1767 meV per atom; calculated density = 4.110 Mg/m³
1.0
3.136 0.000 0.000
0.000 3.136 0.000
0.000 0.000 5.080
Sr C
1 3
Direct
0.000 0.000 0.000 Sr
0.000 0.000 0.500 C
0.500 0.500 0.369 C
0.500 0.500 0.631 C

=====

18.
Hf6Ga16Ni7 (SCAN, PBEsol geometry); ΔH_f (0 K) = -525 meV per atom; calculated density = 10.255 Mg/m³
1.0
0.000 5.947 5.947
5.947 0.000 5.947
5.947 5.947 0.000
Hf Ga Ni
6 16 7
Direct
0.192 0.192 0.808 Hf
0.192 0.808 0.192 Hf
0.192 0.808 0.808 Hf
0.808 0.192 0.192 Hf
0.808 0.192 0.808 Hf
0.808 0.808 0.192 Hf
0.138 0.621 0.621 Ga
0.161 0.161 0.161 Ga
0.161 0.161 0.516 Ga
0.161 0.516 0.161 Ga
0.379 0.379 0.379 Ga
0.379 0.379 0.862 Ga
0.379 0.862 0.379 Ga
0.484 0.839 0.839 Ga
0.516 0.161 0.161 Ga
0.621 0.138 0.621 Ga
0.621 0.621 0.138 Ga
0.621 0.621 0.621 Ga
0.839 0.484 0.839 Ga
0.839 0.839 0.484 Ga
0.839 0.839 0.839 Ga
0.862 0.379 0.379 Ga
0.000 0.000 0.500 Ni
0.000 0.500 0.000 Ni
0.000 0.500 0.500 Ni
0.500 0.000 0.000 Ni
0.500 0.000 0.500 Ni
0.500 0.500 0.000 Ni
0.500 0.500 0.500 Ni

=====

19.
ScCuRe3 (SCAN, PBEsol geometry); ΔH_f (0 K) = 1560 meV per atom; calculated density = 12.611 Mg/m³
1.0
4.445 0.000 0.000
0.000 4.445 0.000
0.000 0.000 4.445
Sc Cu Re
1 1 3
Direct
0.000 0.000 0.000 Sc
0.500 0.500 0.500 Cu
0.000 0.500 0.500 Re
0.500 0.000 0.500 Re
0.500 0.500 0.000 Re